A relaxed structure of TmAlGa. Source: Alexandria via LeMat-Bulk, functional GGA-PBEsol.

```
TmAlGa
1.0
3.419 0.000 0.000
0.000 4.394 0.000
0.000 -2.197 3.805
Tm Al Ga
1 1 1
Direct
0.000 0.333 0.667 Tm
0.500 0.000 0.000 Al
0.500 0.667 0.333 Ga
```

Energy of formation from the pure elements   -586 meV/atom
Crystal system   hexagonal

***

A relaxed structure of AlZnGa2. Source: Alexandria via LeMat-Bulk, functional GGA-PBEsol.

```
AlZnGa2
1.0
-3.666 -2.631 -0.719
0.240 -4.503 0.736
-2.210 -1.857 3.542
Zn Al Ga
1 1 2
Direct
0.500 0.500 0.500 Zn
0.000 0.000 0.000 Al
0.250 0.250 0.250 Ga
0.750 0.750 0.750 Ga
```

Energy of formation from the pure elements   93 meV/atom
Crystal system   cubic

***

A relaxed structure of Zr2AlGa2. Source: Alexandria via LeMat-Bulk, functional GGA-PBEsol.

```
Zr2AlGa2
1.0
-2.480 -0.244 -3.135
0.175 -6.667 0.380
-5.242 0.099 4.139
Ga Zr Al
4 4 2
Direct
0.000 0.372 0.872 Ga
0.000 0.872 0.628 Ga
0.000 0.628 0.128 Ga
0.000 0.128 0.372 Ga
0.500 0.176 0.676 Zr
0.500 0.676 0.824 Zr
0.500 0.824 0.324 Zr
0.500 0.324 0.176 Zr
0.000 0.000 0.000 Al
0.000 0.500 0.500 Al
```

Energy of formation from the pure elements   -614 meV/atom
Crystal system   tetragonal

***

A relaxed structure of Zr2AlGa2. Source: Alexandria via LeMat-Bulk, functional GGA-PBEsol.

```
Zr2AlGa2
1.0
-3.433 2.357 0.998
-2.249 -3.575 0.704
4.457 0.663 4.582
Ga Zr Al
2 2 1
Direct
0.399 0.399 0.798 Ga
0.601 0.601 0.202 Ga
0.250 0.750 0.500 Zr
0.750 0.250 0.500 Zr
0.000 0.000 0.000 Al
```

Energy of formation from the pure elements   78 meV/atom
Crystal system   tetragonal

***

A relaxed structure of ZrAlGa3. Source: Alexandria via LeMat-Bulk, functional GGA-PBEsol.

```
ZrAlGa3
1.0
5.168 0.000 0.000
0.000 5.168 0.000
0.000 0.000 5.168
Ga Zr Al
3 1 1
Direct
0.000 0.500 0.000 Ga
0.000 0.000 0.500 Ga
0.500 0.000 0.000 Ga
0.000 0.000 0.000 Zr
0.500 0.500 0.500 Al
```

Energy of formation from the pure elements   759 meV/atom
Crystal system   cubic

***

A relaxed structure of GdAl2. Source: Alexandria via LeMat-Bulk, functional GGA-PBEsol.

```
GdAl2
1.0
5.535 0.000 0.000
2.768 4.794 0.000
2.768 1.598 4.520
Gd Al
2 4
Direct
0.500 0.500 0.500 Gd
0.750 0.750 0.750 Gd
0.625 0.125 0.125 Al
0.125 0.125 0.125 Al
0.125 0.125 0.625 Al
0.125 0.625 0.125 Al
```

Energy of formation from the pure elements   -545 meV/atom
Crystal system   cubic

***

What is the energy of formation from the pure elements in the fifth record? 759 meV/atom

***

energy of formation from the pure elements of number 6 (GdAl2)? -545 meV/atom